# 1
! TcS2N GGA-PBEsol relaxed; values from VASP
! - energy relative to the elements, uncorrected (meV/atom) = 1083
! - E (eV per atom) = -6.058
! - Fermi-level density of states (states/eV per atom) = 0.71
! - space group = R-3m, No. 166
&SYSTEM
  ibrav = 0, nat = 4, ntyp = 3
/
ATOMIC_SPECIES
Tc 98.00 Tc.upf
S 32.06 S.upf
N 14.01 N.upf
CELL_PARAMETERS angstrom
1.475 0.851 7.000
-1.475 0.851 7.000
0.000 -1.703 7.000
ATOMIC_POSITIONS crystal
Tc 0.000 0.000 0.000
S 0.103 0.103 0.103
S 0.897 0.897 0.897
N 0.500 0.500 0.500

=====

# 2
! TcS2N GGA-PBEsol relaxed; values from VASP
! - energy relative to the elements, uncorrected (meV/atom) = 276
! - E (eV per atom) = -6.865
! - Fermi-level density of states (states/eV per atom) = 0.59
! - space group = R-3m, No. 166
&SYSTEM
  ibrav = 0, nat = 4, ntyp = 3
/
ATOMIC_SPECIES
Tc 98.00 Tc.upf
S 32.06 S.upf
N 14.01 N.upf
CELL_PARAMETERS angstrom
1.713 0.989 5.753
-1.713 0.989 5.753
0.000 -1.978 5.753
ATOMIC_POSITIONS crystal
Tc 0.000 0.000 0.000
S 0.409 0.409 0.409
S 0.591 0.591 0.591
N 0.500 0.500 0.500

=====

# 3
! TcS2N2 GGA-PBEsol relaxed; values from VASP
! - energy relative to the elements, uncorrected (meV/atom) = 1723
! - E (eV per atom) = -5.694
! - Fermi-level density of states (states/eV per atom) = 0.65
! - space group = I4/mmm, No. 139
&SYSTEM
  ibrav = 0, nat = 5, ntyp = 3
/
ATOMIC_SPECIES
Tc 98.00 Tc.upf
S 32.06 S.upf
N 14.01 N.upf
CELL_PARAMETERS angstrom
-1.630 1.630 4.881
1.630 -1.630 4.881
1.630 1.630 -4.881
ATOMIC_POSITIONS crystal
Tc 0.000 0.000 0.000
S 0.350 0.350 0.000
S 0.650 0.650 0.000
N 0.250 0.750 0.500
N 0.750 0.250 0.500

=====

# 4
! TcTeS2N GGA-PBEsol relaxed; values from VASP
! - energy relative to the elements, uncorrected (meV/atom) = 1457
! - E (eV per atom) = -4.961
! - Fermi-level density of states (states/eV per atom) = 0.48
! - space group = P4/mmm, No. 123
&SYSTEM
  ibrav = 0, nat = 5, ntyp = 4
/
ATOMIC_SPECIES
Tc 98.00 Tc.upf
Te 127.60 Te.upf
S 32.06 S.upf
N 14.01 N.upf
CELL_PARAMETERS angstrom
5.023 0.000 0.000
0.000 5.023 0.000
0.000 0.000 3.884
ATOMIC_POSITIONS crystal
Tc 0.000 0.000 0.000
Te 0.500 0.500 0.500
S 0.000 0.500 0.500
S 0.500 0.000 0.500
N 0.500 0.500 0.000